Compound: HfVN3
Source: the Alexandria database
Functional: PBE
Structure: optimized geometry

* SG: Pm-3m, No. 221
* formation energy (no corrections): -40.1 kJ per mole of atoms
* spin magnetization: 0.00 μB per formula unit
* crystal system: cubic

Cell: 3.747 3.747 3.747 Å, 90.00 90.00 90.00°
Atoms (fractional coordinates):
V (0.000, 0.000, 0.000)
Hf (0.500, 0.500, 0.500)
N (0.000, 0.500, 0.000)
N (0.000, 0.000, 0.500)
N (0.500, 0.000, 0.000)